Density functional theory data (PBE) for a geometry-optimized Ga2NiMo2 structure.

Cell lengths 6.0409, 6.0409, 4.0305 Å; angles 90.00, 90.00, 90.00 degrees
Element x y z (fractional)
Ga 0.1440 0.3560 0.0000
Ga 0.3560 0.8560 0.0000
Ga 0.6440 0.1440 0.0000
Ga 0.8560 0.6440 0.0000
Ni 0.0000 0.0000 0.0000
Ni 0.5000 0.5000 0.0000
Mo 0.1623 0.6623 0.5000
Mo 0.3377 0.1623 0.5000
Mo 0.6623 0.8377 0.5000
Mo 0.8377 0.3377 0.5000

Summary:
formation enthalpy at 0 K = 57 meV/atom
crystal system = tetragonal
total DFT energy (no corrections) = -6.64 eV/atom
DOS(E_F) = 6.51 states/eV per cell